(1)
Computed, not measured: a relaxed structure of TeP2Br at the PBEsol level of DFT.

a b c (Å): 3.4222 4.7900 4.7900
angles (deg): 90.00 90.00 90.00
With the nearest neighbours (Å) after each atom.
Fractional coordinates of all 4 atoms:
P: 0.0000 0.0000 0.5000  4 Br 2.94, 4 Te 2.94
P: 0.0000 0.5000 0.0000  4 Br 2.94, 4 Te 2.94
Te: 0.5000 0.0000 0.0000  8 P 2.94
Br: 0.5000 0.5000 0.5000  8 P 2.94



(2)
Computed, not measured: a relaxed structure of TiPBr2 at the PBEsol level of DFT.

a b c (Å): 3.2011 3.2011 10.2465
angles (deg): 81.01 81.01 60.00
With the nearest neighbours (Å) after each atom.
Fractional coordinates of all 4 atoms:
P: 0.0000 0.0000 0.0000  6 P 3.20, 2 Br 3.28
Br: 0.8915 0.8915 0.3254  3 Ti 2.55
Br: 0.1085 0.1085 0.6746  3 Ti 2.55
Ti: 0.5000 0.5000 0.5000  6 Br 2.55



For reference, formation energy (no corrections) by record: 724.8 -171.5 meV per atom.